1) Compound: Zr3Tc5
Source: the Alexandria database
Functional: PBE-GGA
Structure: relaxed

Cell: 6.4787 9.1843 4.5590 Å, 90.00 90.00 90.00°
Fractional coordinates of all 16 atoms:
Zr1 0.0000 0.0000 0.0000
Zr2 0.0000 0.2518 0.5000
Zr3 0.0000 0.7482 0.5000
Zr4 0.5000 0.2482 0.5000
Zr5 0.5000 0.5000 0.0000
Zr6 0.5000 0.7518 0.5000
Tc1 0.0000 0.5000 0.0000
Tc2 0.2415 0.5000 0.5000
Tc3 0.2500 0.2500 0.0000
Tc4 0.2500 0.7500 0.0000
Tc5 0.2585 0.0000 0.5000
Tc6 0.5000 0.0000 0.0000
Tc7 0.7415 0.0000 0.5000
Tc8 0.7500 0.2500 0.0000
Tc9 0.7500 0.7500 0.0000
Tc10 0.7585 0.5000 0.5000

- Total magnetization: 0.0000 μB/atom

2) Compound: Zr3Tc5
Source: the Alexandria database
Functional: PBE-GGA
Structure: relaxed

Cell: 7.9989 7.9989 5.1591 Å, 90.00 90.00 120.00°
Fractional coordinates of all 16 atoms:
Zr1 0.0000 0.3862 0.2500
Zr2 0.0000 0.6138 0.7500
Zr3 0.3862 0.0000 0.2500
Zr4 0.3862 0.3862 0.7500
Zr5 0.6138 0.0000 0.7500
Zr6 0.6138 0.6138 0.2500
Tc1 0.0000 0.1966 0.7500
Tc2 0.0000 0.8034 0.2500
Tc3 0.1966 0.0000 0.7500
Tc4 0.1966 0.1966 0.2500
Tc5 0.3333 0.6667 0.0000
Tc6 0.3333 0.6667 0.5000
Tc7 0.6667 0.3333 0.0000
Tc8 0.6667 0.3333 0.5000
Tc9 0.8034 0.0000 0.2500
Tc10 0.8034 0.8034 0.7500

- Total magnetization: 0.0000 μB/atom

Most stable: 1)

1) Compound: ZrTc6
Source: the Alexandria database
Functional: PBE-GGA
Structure: relaxed

Cell: 6.7151 6.7151 6.7151 Å, 90.00 90.00 90.00°
Fractional coordinates of all 14 atoms:
Zr1 0.0000 0.0000 0.0000
Zr2 0.5000 0.5000 0.5000
Tc1 0.0000 0.2500 0.5000
Tc2 0.0000 0.5000 0.2500
Tc3 0.0000 0.5000 0.7500
Tc4 0.0000 0.7500 0.5000
Tc5 0.2500 0.0000 0.5000
Tc6 0.2500 0.5000 0.0000
Tc7 0.5000 0.0000 0.2500
Tc8 0.5000 0.0000 0.7500
Tc9 0.5000 0.2500 0.0000
Tc10 0.5000 0.7500 0.0000
Tc11 0.7500 0.0000 0.5000
Tc12 0.7500 0.5000 0.0000

- Total magnetization: 0.0003 μB/atom

2) Compound: ZrTc6
Source: the Alexandria database
Functional: PBE-GGA
Structure: relaxed

Cell: 8.3965 5.0863 10.7068 Å, 90.00 90.00 90.00°
Fractional coordinates of all 28 atoms:
Zr1 0.2310 0.2500 0.0565
Zr2 0.2690 0.7500 0.5565
Zr3 0.7310 0.2500 0.4435
Zr4 0.7690 0.7500 0.9435
Tc1 0.0697 0.7500 0.0746
Tc2 0.0712 0.0102 0.3059
Tc3 0.0712 0.4898 0.3059
Tc4 0.0810 0.2500 0.5229
Tc5 0.1372 0.7500 0.8502
Tc6 0.1850 0.2500 0.7566
Tc7 0.3150 0.7500 0.2566
Tc8 0.3628 0.2500 0.3502
Tc9 0.4190 0.7500 0.0229
Tc10 0.4288 0.5102 0.8059
Tc11 0.4288 0.9898 0.8059
Tc12 0.4303 0.2500 0.5746
Tc13 0.5697 0.7500 0.4254
Tc14 0.5712 0.0102 0.1941
Tc15 0.5712 0.4898 0.1941
Tc16 0.5810 0.2500 0.9771
Tc17 0.6372 0.7500 0.6498
Tc18 0.6850 0.2500 0.7434
Tc19 0.8150 0.7500 0.2434
Tc20 0.8628 0.2500 0.1498
Tc21 0.9190 0.7500 0.4771
Tc22 0.9288 0.5102 0.6941
Tc23 0.9288 0.9898 0.6941
Tc24 0.9303 0.2500 0.9254

- Total magnetization: 0.0000 μB/atom

Most stable: 2)

1) Compound: Th2TlTe
Source: the Alexandria database
Functional: PBE-GGA
Structure: relaxed

Cell: 3.7174 3.7174 8.4217 Å, 90.00 90.00 90.00°
Fractional coordinates of all 4 atoms:
Th1 0.0000 0.0000 0.2394
Th2 0.0000 0.0000 0.7606
Tl1 0.5000 0.5000 0.5000
Te1 0.5000 0.5000 0.0000

- Total magnetization: 0.0000 μB/atom

2) Compound: Th2TlTe
Source: the Alexandria database
Functional: PBE-GGA
Structure: relaxed

Cell: 4.6014 4.6014 21.3395 Å, 90.00 90.00 120.00°
Fractional coordinates of all 12 atoms:
Th1 0.0000 0.0000 0.2474
Th2 0.0000 0.0000 0.7526
Th3 0.3333 0.6667 0.4193
Th4 0.3333 0.6667 0.9141
Th5 0.6667 0.3333 0.0859
Th6 0.6667 0.3333 0.5807
Tl1 0.0000 0.0000 0.5000
Tl2 0.3333 0.6667 0.1667
Tl3 0.6667 0.3333 0.8333
Te1 0.0000 0.0000 0.0000
Te2 0.3333 0.6667 0.6667
Te3 0.6667 0.3333 0.3333

- Total magnetization: 0.0000 μB/atom

Most stable: 1)

1) Compound: Th2TlTe
Source: the Alexandria database
Functional: PBE-GGA
Structure: relaxed

Cell: 7.7605 7.7605 7.7605 Å, 90.00 90.00 90.00°
Fractional coordinates of all 16 atoms:
Th1 0.2500 0.2500 0.2500
Th2 0.2500 0.2500 0.7500
Th3 0.2500 0.7500 0.2500
Th4 0.2500 0.7500 0.7500
Th5 0.7500 0.2500 0.2500
Th6 0.7500 0.2500 0.7500
Th7 0.7500 0.7500 0.2500
Th8 0.7500 0.7500 0.7500
Tl1 0.0000 0.0000 0.0000
Tl2 0.0000 0.5000 0.5000
Tl3 0.5000 0.0000 0.5000
Tl4 0.5000 0.5000 0.0000
Te1 0.0000 0.0000 0.5000
Te2 0.0000 0.5000 0.0000
Te3 0.5000 0.0000 0.0000
Te4 0.5000 0.5000 0.5000

- Total magnetization: 0.0001 μB/atom

2) Compound: Th2TlTe
Source: the Alexandria database
Functional: PBE-GGA
Structure: relaxed

Cell: 3.8987 3.8987 28.7836 Å, 90.00 90.00 120.00°
Fractional coordinates of all 12 atoms:
Th1 0.0000 0.0000 0.0000
Th2 0.0000 0.0000 0.1761
Th3 0.3333 0.6667 0.6667
Th4 0.3333 0.6667 0.8427
Th5 0.6667 0.3333 0.3333
Th6 0.6667 0.3333 0.5094
Tl1 0.0000 0.0000 0.7543
Tl2 0.3333 0.6667 0.4210
Tl3 0.6667 0.3333 0.0876
Te1 0.0000 0.0000 0.5883
Te2 0.3333 0.6667 0.2550
Te3 0.6667 0.3333 0.9216

- Total magnetization: 0.0003 μB/atom

Most stable: 1)

1) Compound: TmThTe3
Source: the Alexandria database
Functional: PBE-GGA
Structure: relaxed

Cell: 11.3793 11.3793 7.6681 Å, 90.00 90.00 157.68°
Fractional coordinates of all 10 atoms:
Tm1 0.1651 0.8349 0.5000
Tm2 0.8349 0.1651 0.0000
Th1 0.3393 0.6607 0.5020
Th2 0.6607 0.3393 0.0020
Te1 0.0859 0.9141 0.8194
Te2 0.2508 0.7492 0.1684
Te3 0.4091 0.5909 0.8468
Te4 0.5909 0.4091 0.3468
Te5 0.7492 0.2508 0.6684
Te6 0.9141 0.0859 0.3194

- Total magnetization: 0.0001 μB/atom

2) Compound: TmThTe3
Source: the Alexandria database
Functional: PBE-GGA
Structure: relaxed

Cell: 8.2256 8.2256 9.6179 Å, 93.94 93.94 30.28°
Fractional coordinates of all 10 atoms:
Tm1 0.1854 0.1854 0.1346
Tm2 0.8146 0.8146 0.8654
Th1 0.3923 0.3923 0.4177
Th2 0.6077 0.6077 0.5823
Te1 0.0382 0.0382 0.3339
Te2 0.2555 0.2555 0.6575
Te3 0.3719 0.3719 0.0709
Te4 0.6281 0.6281 0.9291
Te5 0.7445 0.7445 0.3425
Te6 0.9618 0.9618 0.6661

- Total magnetization: 0.0001 μB/atom

Most stable: 2)

1) Compound: TmThTe2
Source: the Alexandria database
Functional: PBE-GGA
Structure: relaxed

Cell: 5.3410 5.3410 3.8315 Å, 90.00 90.00 90.00°
Fractional coordinates of all 4 atoms:
Tm1 0.0000 0.0000 0.0000
Th1 0.5000 0.5000 0.0000
Te1 0.0000 0.5000 0.5000
Te2 0.5000 0.0000 0.5000

- Total magnetization: 0.0001 μB/atom

2) Compound: TmThTe2
Source: the Alexandria database
Functional: PBE-GGA
Structure: relaxed

Cell: 4.1566 4.1566 23.8322 Å, 90.00 90.00 120.00°
Fractional coordinates of all 12 atoms:
Tm1 0.0000 0.0000 0.0000
Tm2 0.3333 0.6667 0.6667
Tm3 0.6667 0.3333 0.3333
Th1 0.0000 0.0000 0.5000
Th2 0.3333 0.6667 0.1667
Th3 0.6667 0.3333 0.8333
Te1 0.0000 0.0000 0.2561
Te2 0.0000 0.0000 0.7439
Te3 0.3333 0.6667 0.4106
Te4 0.3333 0.6667 0.9227
Te5 0.6667 0.3333 0.0773
Te6 0.6667 0.3333 0.5894

- Total magnetization: 0.0000 μB/atom

Most stable: 2)

1) Compound: ThUTe4
Source: the Alexandria database
Functional: PBE-GGA
Structure: relaxed

Cell: 6.9852 6.9852 7.7551 Å, 90.00 90.00 90.00°
Fractional coordinates of all 12 atoms:
Th1 0.0000 0.0000 0.0000
Th2 0.5000 0.5000 0.0000
U1 0.0000 0.0000 0.5000
U2 0.5000 0.5000 0.5000
Te1 0.1774 0.3226 0.2563
Te2 0.1774 0.3226 0.7437
Te3 0.3226 0.8226 0.2563
Te4 0.3226 0.8226 0.7437
Te5 0.6774 0.1774 0.2563
Te6 0.6774 0.1774 0.7437
Te7 0.8226 0.6774 0.2563
Te8 0.8226 0.6774 0.7437

- Total magnetization: 0.3784 μB/atom

2) Compound: ThUTe4
Source: the Alexandria database
Functional: PBE-GGA
Structure: relaxed

Cell: 7.4629 7.4634 7.4729 Å, 90.00 90.21 90.00°
Fractional coordinates of all 12 atoms:
Th1 0.0000 0.0000 0.0000
Th2 0.5000 0.5000 0.0000
U1 0.0000 0.5000 0.5000
U2 0.5000 0.0000 0.5000
Te1 0.2499 0.2494 0.7455
Te2 0.2501 0.2506 0.2545
Te3 0.2501 0.7494 0.2545
Te4 0.2499 0.7506 0.7455
Te5 0.7501 0.2494 0.2545
Te6 0.7499 0.2506 0.7455
Te7 0.7499 0.7494 0.7455
Te8 0.7501 0.7506 0.2545

- Total magnetization: 0.3327 μB/atom

Most stable: 2)

1) Compound: YTh3Te4
Source: the Alexandria database
Functional: PBE-GGA
Structure: relaxed

Cell: 9.0098 12.5557 4.3864 Å, 90.00 90.00 90.00°
Fractional coordinates of all 16 atoms:
Y1 0.0000 0.0000 0.0000
Y2 0.5000 0.5000 0.0000
Th1 0.0000 0.5000 0.0000
Th2 0.2500 0.2500 0.5000
Th3 0.2500 0.7500 0.5000
Th4 0.5000 0.0000 0.0000
Th5 0.7500 0.2500 0.5000
Th6 0.7500 0.7500 0.5000
Te1 0.0000 0.2453 0.0000
Te2 0.0000 0.7547 0.0000
Te3 0.2413 0.0000 0.5000
Te4 0.2587 0.5000 0.5000
Te5 0.5000 0.2547 0.0000
Te6 0.5000 0.7453 0.0000
Te7 0.7413 0.5000 0.5000
Te8 0.7587 0.0000 0.5000

- Total magnetization: 0.0000 μB/atom

2) Compound: YTh3Te4
Source: the Alexandria database
Functional: PBE-GGA
Structure: relaxed

Cell: 4.4506 4.4506 12.5480 Å, 90.00 90.00 90.00°
Fractional coordinates of all 8 atoms:
Y1 0.0000 0.0000 0.0000
Th1 0.0000 0.0000 0.5000
Th2 0.5000 0.5000 0.2523
Th3 0.5000 0.5000 0.7477
Te1 0.0000 0.0000 0.2453
Te2 0.0000 0.0000 0.7547
Te3 0.5000 0.5000 0.0000
Te4 0.5000 0.5000 0.5000

- Total magnetization: 0.0000 μB/atom

Most stable: 2)

1) Compound: Y2Th2Te7
Source: the Alexandria database
Functional: PBE-GGA
Structure: relaxed

Cell: 5.2885 5.2885 14.8418 Å, 90.00 90.00 90.00°
Fractional coordinates of all 11 atoms:
Y1 0.0000 0.5000 0.1361
Y2 0.5000 0.0000 0.8639
Th1 0.0000 0.5000 0.6279
Th2 0.5000 0.0000 0.3721
Te1 0.0000 0.0000 0.2328
Te2 0.0000 0.0000 0.5000
Te3 0.0000 0.0000 0.7672
Te4 0.5000 0.5000 0.0000
Te5 0.5000 0.5000 0.2529
Te6 0.5000 0.5000 0.5000
Te7 0.5000 0.5000 0.7471

- Total magnetization: 0.0000 μB/atom

2) Compound: Y2Th2Te7
Source: the Alexandria database
Functional: PBE-GGA
Structure: relaxed

Cell: 9.5987 9.5987 9.5987 Å, 153.34 68.52 118.20°
Fractional coordinates of all 11 atoms:
Y1 0.0000 0.0000 0.0000
Y2 0.5418 0.0418 0.5000
Th1 0.0745 0.8102 0.2643
Th2 0.5460 0.8102 0.7357
Te1 0.2311 0.7311 0.5000
Te2 0.2867 0.1064 0.1803
Te3 0.3696 0.5108 0.8587
Te4 0.6521 0.5108 0.1413
Te5 0.7105 0.3202 0.3903
Te6 0.9261 0.1064 0.8197
Te7 0.9300 0.3202 0.6097

- Total magnetization: 0.0000 μB/atom

Most stable: 2)

1) Compound: Y2ThTe
Source: the Alexandria database
Functional: PBE-GGA
Structure: relaxed

Cell: 3.8538 3.8538 29.7864 Å, 90.00 90.00 120.00°
Fractional coordinates of all 12 atoms:
Y1 0.0000 0.0000 0.0000
Y2 0.0000 0.0000 0.1914
Y3 0.3333 0.6667 0.6667
Y4 0.3333 0.6667 0.8580
Y5 0.6667 0.3333 0.3333
Y6 0.6667 0.3333 0.5247
Th1 0.0000 0.0000 0.7626
Th2 0.3333 0.6667 0.4293
Th3 0.6667 0.3333 0.0959
Te1 0.0000 0.0000 0.5957
Te2 0.3333 0.6667 0.2624
Te3 0.6667 0.3333 0.9290

- Total magnetization: 0.0000 μB/atom

2) Compound: Y2ThTe
Source: the Alexandria database
Functional: PBE-GGA
Structure: relaxed

Cell: 3.8282 3.8282 8.1180 Å, 90.00 90.00 90.00°
Fractional coordinates of all 4 atoms:
Y1 0.0000 0.0000 0.2244
Y2 0.0000 0.0000 0.7756
Th1 0.5000 0.5000 0.5000
Te1 0.5000 0.5000 0.0000

- Total magnetization: 0.0000 μB/atom

3) Compound: Y2ThTe
Source: the Alexandria database
Functional: PBE-GGA
Structure: relaxed

Cell: 3.8206 3.8206 29.6628 Å, 90.00 90.00 120.00°
Fractional coordinates of all 12 atoms:
Y1 0.0000 0.0000 0.2393
Y2 0.0000 0.0000 0.7607
Y3 0.3333 0.6667 0.4273
Y4 0.3333 0.6667 0.9060
Y5 0.6667 0.3333 0.0940
Y6 0.6667 0.3333 0.5727
Th1 0.0000 0.0000 0.0000
Th2 0.3333 0.6667 0.6667
Th3 0.6667 0.3333 0.3333
Te1 0.0000 0.0000 0.5000
Te2 0.3333 0.6667 0.1667
Te3 0.6667 0.3333 0.8333

- Total magnetization: 0.0000 μB/atom

Most stable: 2)

1) Compound: ThZrTe
Source: the Alexandria database
Functional: PBE-GGA
Structure: relaxed

Cell: 3.7267 6.9859 7.1170 Å, 90.00 90.00 90.00°
Fractional coordinates of all 6 atoms:
Th1 0.0000 0.0000 0.0000
Th2 0.0000 0.5000 0.0033
Zr1 0.5000 0.2562 0.3134
Zr2 0.5000 0.7438 0.3134
Te1 0.0000 0.0000 0.5239
Te2 0.5000 0.5000 0.6422

- Total magnetization: 0.0000 μB/atom

2) Compound: ThZrTe
Source: the Alexandria database
Functional: PBE-GGA
Structure: relaxed

Cell: 5.0517 5.0517 3.7283 Å, 90.00 90.00 120.00°
Fractional coordinates of all 3 atoms:
Th1 0.0000 0.0000 0.0000
Zr1 0.6667 0.3333 0.5000
Te1 0.3333 0.6667 0.5000

- Total magnetization: 0.0001 μB/atom

Most stable: 2)